1.
Density functional theory data (PBE) for TlS5I after structural relaxation.

abc: 3.8199 7.1465 8.8803
angles: 109.57 92.31 90.15
Space group P1 (No. 1)
Unique sites:
Tl 0.0000 0.0000 0.0000
S 0.0288 0.5634 0.2812
S 0.4562 0.7132 0.3766
S 0.5179 0.1028 0.1857
S 0.9747 0.1351 0.7494
S 0.9772 0.6614 0.7574
I 0.4779 0.4057 0.7762

As for the density of states at the Fermi level: 1.6 states/eV/f.u. The calculation puts the total energy at -3.21 eV per atom.


2.
Density functional theory data (PBE) for Ac8Te4AsP3 after structural relaxation.

abc: 9.0757 9.0757 23.1997
angles: 90.00 90.00 120.00
Space group R-3m (No. 166, hexagonal axes)
Unique sites:
Ac 0.0000 0.0000 0.2388
Ac 0.0043 0.5022 0.7604
Te 0.0000 0.0000 0.0000
Te 0.0000 0.5000 0.0000
As 0.0000 0.0000 0.5000
P 0.0000 0.5000 0.5000

As for the density of states at the Fermi level: 6.2 states/eV/f.u. The calculation puts the total energy at -5.71 eV per atom.


3.
Density functional theory data (PBE) for P3Pb after structural relaxation.

abc: 5.9326 16.0769 3.5905
angles: 90.00 90.00 90.00
Space group Cmcm (No. 63)
Unique sites:
P 0.0000 0.1677 0.2500
P 0.1864 0.0471 0.7500
Pb 0.0000 0.3049 0.7500

As for the density of states at the Fermi level: 1.7 states/eV/f.u. The value obtained for the energy of formation from the pure elements is 0.261 eV per atom.